! PBE Th8CoTe4Ir3, relaxed; values from VASP
! final energy: -7.6413 eV/atom
! E_form (uncorrected): -100.4 kJ per mole of atoms
! ρ: 10.7 g cm⁻³
&SYSTEM
  ibrav = 0, nat = 16, ntyp = 4
/
ATOMIC_SPECIES
Th 232.04 Th.upf
Co 58.93 Co.upf
Te 127.60 Te.upf
Ir 192.22 Ir.upf
CELL_PARAMETERS angstrom
4.1796 2.4131 7.6877
-4.1796 2.4131 7.6877
0.0000 -4.8262 7.6877
ATOMIC_POSITIONS crystal
Th 0.2343 0.2343 0.2343
Th 0.2396 0.7296 0.7296
Th 0.2704 0.2704 0.7604
Th 0.2704 0.7604 0.2704
Th 0.7296 0.2396 0.7296
Th 0.7296 0.7296 0.2396
Th 0.7604 0.2704 0.2704
Th 0.7657 0.7657 0.7657
Co 0.5000 0.5000 0.5000
Te 0.0000 0.0000 0.0000
Te 0.0000 0.5000 0.5000
Te 0.5000 0.0000 0.5000
Te 0.5000 0.5000 0.0000
Ir 0.0000 0.0000 0.5000
Ir 0.0000 0.5000 0.0000
Ir 0.5000 0.0000 0.0000